# SiSn2BC

A relaxed SiSn2BC crystal (PBE, Alexandria).

The structure in POSCAR format:
```
SiSn2BC
1.0
-3.975 0.198 3.867
0.630 -2.736 0.788
3.682 1.909 3.687
Si C Sn B
1 1 2 1
Direct
0.500 0.500 0.500 Si
0.000 0.500 0.000 C
0.000 0.000 0.500 Sn
0.500 0.000 0.000 Sn
0.000 0.000 0.000 B
```

Formation energy from raw total energies, kcal/mol of atoms: 14.30
Mass density, g cm⁻³: 5.33
Crystal system: tetragonal